First-principles (PBE) data for a relaxed structure of CsCrCd2Pd, as listed in Alexandria via LeMat-Bulk.

```
5
Lattice="7.0144 0.0000 0.0000 0.0000 5.4309 0.0000 0.0000 0.0000 7.0144" Properties=species:S:1:pos:R:3 pbc="T T T"
Cs 0.0000 0.0000 0.0000
Cr 3.5072 2.7155 3.5072
Pd 0.0000 2.7155 0.0000
Cd 0.0000 0.0000 3.5072
Cd 3.5072 0.0000 0.0000
```

## Properties
For the spin magnetization, the calculation gives 5.7 μB/f.u. The energy relative to the elements is 1.372 eV/atom. The total DFT energy (no corrections) comes out at -2.128 eV/atom.

=====

First-principles (PBE) data for a relaxed structure of Cs2CrCdRh, as listed in Alexandria via LeMat-Bulk.

```
5
Lattice="6.7503 0.0000 0.0000 0.0000 4.3415 0.0000 0.0000 0.0000 6.7503" Properties=species:S:1:pos:R:3 pbc="T T T"
Cs 0.0000 0.0000 3.3752
Cs 3.3752 0.0000 0.0000
Cr 0.0000 0.0000 0.0000
Rh 0.0000 2.1707 0.0000
Cd 3.3752 2.1707 3.3752
```

## Properties
For the spin magnetization, the calculation gives 4.2 μB/f.u. The energy relative to the elements is 0.762 eV/atom. The total DFT energy (no corrections) comes out at -3.157 eV/atom.

=====

First-principles (PBE) data for a relaxed structure of Cs2ScCrCd, as listed in Alexandria via LeMat-Bulk.

```
5
Lattice="-3.4300 -0.2473 5.6349 -1.9484 -4.9143 -1.4017 5.1267 -2.8866 2.9939" Properties=species:S:1:pos:R:3 pbc="T T T"
Cs 2.5633 -1.4433 1.4970
Cs -1.7150 -0.1237 2.8175
Cr -0.1259 -4.0241 3.6136
Sc 0.0000 0.0000 0.0000
Cd -0.9742 -2.4572 -0.7009
```

## Properties
For the spin magnetization, the calculation gives 6.4 μB/f.u. The energy relative to the elements is 1.206 eV/atom. The total DFT energy (no corrections) comes out at -2.510 eV/atom.

=====

First-principles (PBE) data for a relaxed structure of CsCrCd2W, as listed in Alexandria via LeMat-Bulk.

```
5
Lattice="-2.0379 -4.7818 3.1162 5.1229 -2.0906 0.1423 1.0541 2.9366 5.1956" Properties=species:S:1:pos:R:3 pbc="T T T"
Cs 0.0000 0.0000 0.0000
Cr 2.0695 -1.9679 4.2270
W 2.5615 -1.0453 0.0711
Cd 0.5270 1.4683 2.5978
Cd -1.0190 -2.3909 1.5581
```

## Properties
For the spin magnetization, the calculation gives 3.0 μB/f.u. The energy relative to the elements is 3.195 eV/atom. The total DFT energy (no corrections) comes out at -1.857 eV/atom.